ZrSc3Ag3S8 | the Alexandria database | PBE | optimized geometry; E_form (uncorrected) = -18.5 eV per formula unit; space-group type = C2/m; total magnetic moment = 0.0 μB/cell; energy = -5.844 eV per atom
1.0
7.517 0.000 0.000
-3.758 6.511 -0.041
0.000 -4.335 6.408
Ag S Zr Sc
3 8 1 3
direct
0.000 0.000 0.000
0.500 0.500 0.000
0.000 0.500 0.000
0.742 0.984 0.724
0.258 0.016 0.276
0.758 0.016 0.276
0.242 0.984 0.724
0.258 0.515 0.274
0.242 0.483 0.723
0.758 0.517 0.277
0.742 0.485 0.726
0.000 0.000 0.500
0.500 0.500 0.500
0.500 0.000 0.500
0.000 0.500 0.500

***

ZrScAgS4 | the Alexandria database | PBE | optimized geometry; E_form (uncorrected) = -9.6 eV per formula unit; space-group type = Imma; total magnetic moment = 0.0 μB/cell; energy = -6.268 eV per atom
1.0
7.611 0.000 0.000
3.806 6.606 0.093
3.806 2.101 6.264
Sc S Ag Zr
2 8 2 2
direct
0.000 0.500 0.500
0.000 0.000 0.000
0.242 0.777 0.739
0.759 0.762 0.262
0.241 0.238 0.738
0.758 0.223 0.261
0.217 0.762 0.262
0.783 0.238 0.738
0.242 0.239 0.277
0.758 0.761 0.723
0.621 0.629 0.129
0.379 0.371 0.871
0.500 0.000 0.500
0.000 0.000 0.500

***

Zr2ScAg2S6 | the Alexandria database | PBE | optimized geometry; E_form (uncorrected) = -13.4 eV per formula unit; space-group type = C2/m; total magnetic moment = 0.0 μB/cell; energy = -6.116 eV per atom
1.0
-0.682 4.902 4.016
-4.504 -4.498 -0.327
8.196 -3.792 0.995
S Zr Ag Sc
6 2 2 1
direct
0.898 0.898 0.730
0.102 0.102 0.270
0.772 0.441 0.270
0.441 0.772 0.270
0.559 0.228 0.730
0.228 0.559 0.730
0.333 0.667 0.500
0.667 0.333 0.500
0.832 0.168 0.000
0.168 0.832 0.000
0.000 0.000 0.500